No. 1
VASP calculation (PBE-GGA) on a geometry-optimized Sm6Er3TmTh2 structure.

Cell lengths 6.192, 6.192, 11.894 Å; angles 94.99, 94.99, 119.95 degrees
Sites, in units of the cell vectors:
Sm 0.917 0.582 0.751
Sm 0.747 0.747 0.249
Sm 0.083 0.418 0.249
Sm 0.582 0.917 0.751
Sm 0.253 0.253 0.751
Sm 0.418 0.083 0.249
Er 0.167 0.833 0.500
Er 0.833 0.167 0.500
Er 0.500 0.500 0.500
Tm 0.000 0.000 0.000
Th 0.334 0.666 0.000
Th 0.666 0.334 0.000

Magnetization: 0.0 μB per formula unit
Formation energy from the elements: 0.83 kcal/mol of atoms
Raw total energy: -60.88 eV per formula unit
Mass density: 8.69 g/cm3



No. 2
VASP calculation (PBE-GGA) on a geometry-optimized Co2NiOs structure.

Cell lengths 8.371, 8.371, 8.371 Å; angles 17.91, 17.91, 17.91 degrees
Last column: magnetic moment on the atom in μB.
Sites, in units of the cell vectors:
Co 0.997 0.997 0.997  1.59
Co 0.503 0.503 0.503  1.59
Ni 0.250 0.250 0.250  0.72
Os 0.750 0.750 0.750  0.10

Magnetization: 3.9 μB per formula unit
Formation energy from the elements: 3.63 kcal/mol of atoms
Raw total energy: -30.59 eV per formula unit
Mass density: 12.57 g/cm3



No. 3
VASP calculation (PBE-GGA) on a geometry-optimized RbSnB structure.

Cell lengths 7.437, 7.437, 3.247 Å; angles 90.00, 90.00, 102.52 degrees
Sites, in units of the cell vectors:
B 0.000 0.000 0.745
B 0.000 0.000 0.255
Sn 0.252 0.252 0.500
Sn 0.748 0.748 0.500
Rb 0.267 0.733 0.000
Rb 0.733 0.267 0.000

Magnetization: 0.0 μB per formula unit
Formation energy from the elements: 4.40 kcal/mol of atoms
Raw total energy: -11.08 eV per formula unit
Mass density: 4.07 g/cm3



No. 4
VASP calculation (PBE-GGA) on a geometry-optimized Be2Co2Mo structure.

Cell lengths 3.650, 3.650, 4.779 Å; angles 67.55, 67.55, 90.00 degrees
Sites, in units of the cell vectors:
Be 0.750 0.250 0.500
Be 0.250 0.750 0.500
Mo 0.000 0.000 0.000
Co 0.367 0.367 0.266
Co 0.633 0.633 0.734

Magnetization: 0.0 μB per formula unit
Formation energy from the elements: 5.17 kcal/mol of atoms
Raw total energy: -31.37 eV per formula unit
Mass density: 7.19 g/cm3



No. 5
VASP calculation (PBE-GGA) on a geometry-optimized Ca7Ge2Au2 structure.

Cell lengths 7.101, 7.253, 7.101 Å; angles 90.00, 96.13, 90.00 degrees
Sites, in units of the cell vectors:
Ca 0.000 0.263 0.500
Ca 0.500 0.737 0.000
Ca 0.000 0.737 0.500
Ca 0.500 0.263 0.000
Ca 0.000 0.000 0.000
Ca 0.500 0.740 0.500
Ca 0.500 0.260 0.500
Ge 0.765 0.500 0.765
Ge 0.235 0.500 0.235
Au 0.721 0.000 0.279
Au 0.279 0.000 0.721

Magnetization: 0.0 μB per formula unit
Formation energy from the elements: -8.60 kcal/mol of atoms
Raw total energy: -33.90 eV per formula unit
Mass density: 3.74 g/cm3



No. 6
VASP calculation (PBE-GGA) on a geometry-optimized InOsN2O structure.

Cell lengths 4.187, 4.187, 4.009 Å; angles 90.00, 90.00, 90.00 degrees
Last column: magnetic moment on the atom in μB.
Sites, in units of the cell vectors:
N 0.000 0.500 0.000  -0.09
N 0.500 0.000 0.000  -0.09
Os 0.500 0.500 0.500  2.88
O 0.000 0.000 0.500  0.25
In 0.000 0.000 0.000  0.01

Magnetization: 3.2 μB per formula unit
Formation energy without anion corrections: 2.098 eV/atom
Raw total energy: -25.09 eV per formula unit
Mass density: 8.25 g/cm3



No. 7
VASP calculation (PBE-GGA) on a geometry-optimized BPICl2 structure.

Cell lengths 5.466, 5.466, 5.247 Å; angles 90.00, 90.00, 90.00 degrees
Last column: magnetic moment on the atom in μB.
Sites, in units of the cell vectors:
I 0.000 0.000 0.000  0.00
P 0.000 0.000 0.500  0.11
B 0.500 0.500 0.500  -0.01
Cl 0.000 0.500 0.000  0.01
Cl 0.500 0.000 0.000  0.01

Magnetization: 0.2 μB per formula unit
Formation energy without anion corrections: 1.531 eV/atom
Raw total energy: -9.67 eV per formula unit
Mass density: 2.54 g/cm3



No. 8
VASP calculation (PBE-GGA) on a geometry-optimized SrTlIr2 structure.

Cell lengths 5.566, 5.696, 3.036 Å; angles 76.01, 87.10, 118.36 degrees
Sites, in units of the cell vectors:
Ir 0.000 0.000 0.000
Ir 0.500 0.000 0.500
Sr 0.000 0.500 0.500
Tl 0.500 0.500 0.000

Magnetization: 0.0 μB per formula unit
Formation energy from the elements: 11.88 kcal/mol of atoms
Raw total energy: -19.71 eV per formula unit
Mass density: 13.93 g/cm3



No. 9
VASP calculation (PBE-GGA) on a geometry-optimized LiCaScCu structure.

Cell lengths 4.944, 4.944, 4.944 Å; angles 60.00, 60.00, 60.00 degrees
Sites, in units of the cell vectors:
Sc 0.000 0.000 0.000
Ca 0.500 0.500 0.500
Cu 0.750 0.750 0.750
Li 0.250 0.250 0.250

Magnetization: 0.0 μB per formula unit
Formation energy from the elements: 1.22 kcal/mol of atoms
Raw total energy: -14.13 eV per formula unit
Mass density: 3.02 g/cm3



No. 10
VASP calculation (PBE-GGA) on a geometry-optimized Pa3P4Pd2Ru2 structure.

Cell lengths 4.103, 4.103, 13.746 Å; angles 90.00, 90.00, 120.00 degrees
Sites, in units of the cell vectors:
Pa 0.000 0.000 0.731
Pa 0.000 0.000 0.000
Pa 0.000 0.000 0.269
P 0.667 0.333 0.126
P 0.333 0.667 0.874
P 0.667 0.333 0.617
P 0.333 0.667 0.383
Pd 0.667 0.333 0.438
Pd 0.333 0.667 0.562
Ru 0.667 0.333 0.850
Ru 0.333 0.667 0.150

Magnetization: 0.0 μB per formula unit
Formation energy from the elements: -21.94 kcal/mol of atoms
Raw total energy: -89.53 eV per formula unit
Mass density: 10.21 g/cm3



No. 11
VASP calculation (PBE-GGA) on a geometry-optimized VZn5Co6 structure.

Cell lengths 4.043, 5.773, 6.390 Å; angles 90.00, 71.56, 90.00 degrees
Sites, in units of the cell vectors:
Zn 0.668 0.500 0.665
Zn 0.332 0.000 0.337
Zn 0.000 0.500 0.000
Zn 0.668 0.000 0.663
Zn 0.332 0.500 0.335
Co 0.838 0.755 0.324
Co 0.838 0.245 0.324
Co 0.500 0.242 0.000
Co 0.500 0.758 0.000
Co 0.162 0.755 0.676
Co 0.162 0.245 0.676
V 0.000 0.000 0.000

Magnetization: 0.0 μB per formula unit
Formation energy from the elements: -1.32 kcal/mol of atoms
Raw total energy: -58.81 eV per formula unit
Mass density: 8.59 g/cm3



No. 12
VASP calculation (PBE-GGA) on a geometry-optimized Th6Co2RhC3 structure.

Cell lengths 3.786, 7.998, 8.895 Å; angles 107.70, 102.29, 90.00 degrees
Sites, in units of the cell vectors:
Th 0.327 0.931 0.653
Th 0.666 0.585 0.333
Th 0.673 0.069 0.347
Th 0.990 0.268 0.980
Th 0.010 0.732 0.020
Th 0.334 0.415 0.667
Co 0.838 0.681 0.677
Co 0.162 0.319 0.323
Rh 0.500 0.000 0.000
C 0.500 0.500 0.000
C 0.832 0.173 0.665
C 0.168 0.827 0.335

Magnetization: 0.0 μB per formula unit
Formation energy from the elements: -6.06 kcal/mol of atoms
Raw total energy: -96.91 eV per formula unit
Mass density: 10.95 g/cm3



No. 13
VASP calculation (PBE-GGA) on a geometry-optimized Pr8Sm3Dy3 structure.

Cell lengths 5.769, 9.905, 9.905 Å; angles 102.33, 73.07, 73.07 degrees
Sites, in units of the cell vectors:
Pr 0.658 0.119 0.565
Pr 0.342 0.881 0.435
Pr 0.658 0.565 0.119
Pr 0.342 0.435 0.881
Pr 0.837 0.767 0.559
Pr 0.163 0.233 0.441
Pr 0.837 0.559 0.767
Pr 0.163 0.441 0.233
Sm 0.500 0.000 0.000
Sm 0.000 0.821 0.179
Sm 0.000 0.179 0.821
Dy 0.500 0.500 0.500
Dy 0.801 0.199 0.199
Dy 0.199 0.801 0.801

Magnetization: 0.0 μB per formula unit
Formation energy from the elements: 2.36 kcal/mol of atoms
Raw total energy: -64.77 eV per formula unit
Mass density: 7.01 g/cm3



No. 14
VASP calculation (PBE-GGA) on a geometry-optimized Mg2CdW structure.

Cell lengths 4.967, 2.809, 5.426 Å; angles 89.74, 90.00, 90.00 degrees
Sites, in units of the cell vectors:
Cd 0.500 0.628 0.764
Mg 0.000 0.121 0.973
Mg 0.500 0.128 0.295
W 0.000 0.623 0.468

Magnetization: 0.0 μB per formula unit
Formation energy from the elements: 9.79 kcal/mol of atoms
Raw total energy: -15.36 eV per formula unit
Mass density: 7.56 g/cm3



No. 15
VASP calculation (PBE-GGA) on a geometry-optimized LiAlCd structure.

Cell lengths 2.951, 15.486, 4.764 Å; angles 90.00, 90.00, 90.00 degrees
Sites, in units of the cell vectors:
Li 0.000 0.444 0.250
Li 0.000 0.556 0.750
Li 0.500 0.944 0.250
Li 0.500 0.056 0.750
Al 0.000 0.778 0.250
Al 0.000 0.222 0.750
Al 0.500 0.278 0.250
Al 0.500 0.722 0.750
Cd 0.000 0.108 0.250
Cd 0.000 0.892 0.750
Cd 0.500 0.608 0.250
Cd 0.500 0.392 0.750

Magnetization: 0.0 μB per formula unit
Formation energy from the elements: -2.84 kcal/mol of atoms
Raw total energy: -6.94 eV per formula unit
Mass density: 4.46 g/cm3



No. 16
VASP calculation (PBE-GGA) on a geometry-optimized BaNa2MnCr structure.

Cell lengths 5.725, 4.084, 5.725 Å; angles 90.00, 90.00, 90.00 degrees
Last column: magnetic moment on the atom in μB.
Sites, in units of the cell vectors:
Cr 0.000 0.500 0.000  0.30
Mn 0.000 0.000 0.000  -0.05
Ba 0.500 0.500 0.500  0.06
Na 0.000 0.000 0.500  0.00
Na 0.500 0.000 0.000  0.00

Magnetization: 0.5 μB per formula unit
Formation energy from the elements: 21.24 kcal/mol of atoms
Raw total energy: -18.75 eV per formula unit
Mass density: 3.60 g/cm3



No. 17
VASP calculation (PBE-GGA) on a geometry-optimized Na2InSnI6 structure.

Cell lengths 8.023, 8.023, 8.684 Å; angles 62.47, 62.47, 59.98 degrees
Sites, in units of the cell vectors:
Na 0.512 0.513 0.463
Na 0.013 0.013 0.960
In 0.324 0.324 0.029
Sn 0.824 0.824 0.527
I 0.594 0.219 0.255
I 0.219 0.932 0.255
I 0.932 0.594 0.255
I 0.432 0.716 0.757
I 0.716 0.095 0.757
I 0.095 0.432 0.757

Magnetization: 0.0 μB per formula unit
Formation energy without anion corrections: -0.753 eV/atom
Raw total energy: -26.21 eV per formula unit
Mass density: 4.22 g/cm3



No. 18
VASP calculation (PBE-GGA) on a geometry-optimized CsRe2C2 structure.

Cell lengths 4.095, 4.095, 7.436 Å; angles 74.02, 74.02, 90.00 degrees
Sites, in units of the cell vectors:
Cs 0.000 0.000 0.000
Re 0.254 0.254 0.492
Re 0.746 0.746 0.508
C 0.750 0.250 0.500
C 0.250 0.750 0.500

Magnetization: 0.0 μB per formula unit
Formation energy from the elements: 17.14 kcal/mol of atoms
Raw total energy: -40.48 eV per formula unit
Mass density: 7.65 g/cm3



No. 19
VASP calculation (PBE-GGA) on a geometry-optimized PaGe2P structure.

Cell lengths 4.643, 4.009, 4.009 Å; angles 90.00, 90.00, 90.00 degrees
Sites, in units of the cell vectors:
P 0.500 0.500 0.500
Ge 0.000 0.000 0.500
Ge 0.000 0.500 0.000
Pa 0.500 0.000 0.000

Magnetization: 0.0 μB per formula unit
Formation energy from the elements: -13.01 kcal/mol of atoms
Raw total energy: -26.40 eV per formula unit
Mass density: 9.06 g/cm3



No. 20
VASP calculation (PBE-GGA) on a geometry-optimized Mg4TlPb2 structure.

Cell lengths 7.311, 5.895, 9.132 Å; angles 90.00, 110.17, 90.00 degrees
Sites, in units of the cell vectors:
Mg 0.612 0.497 0.249
Mg 0.058 0.750 0.831
Mg 0.942 0.250 0.169
Mg 0.612 0.003 0.249
Mg 0.949 0.250 0.543
Mg 0.388 0.997 0.751
Mg 0.388 0.503 0.751
Mg 0.051 0.750 0.457
Tl 0.220 0.750 0.197
Tl 0.780 0.250 0.803
Pb 0.744 0.750 0.007
Pb 0.256 0.250 0.993
Pb 0.337 0.250 0.438
Pb 0.663 0.750 0.562

Magnetization: 0.0 μB per formula unit
Formation energy from the elements: 0.32 kcal/mol of atoms
Raw total energy: -16.06 eV per formula unit
Mass density: 6.44 g/cm3



No. 21
VASP calculation (PBE-GGA) on a geometry-optimized K3ReBi structure.

Cell lengths 6.783, 6.783, 6.783 Å; angles 90.00, 90.00, 90.00 degrees
Last column: magnetic moment on the atom in μB.
Sites, in units of the cell vectors:
Re 0.500 0.500 0.500  3.88
K 0.000 0.500 0.000  0.00
K 0.000 0.000 0.500  0.01
K 0.500 0.000 0.000  0.00
Bi 0.000 0.000 0.000  0.18

Magnetization: 5.0 μB per formula unit
Formation energy from the elements: 28.48 kcal/mol of atoms
Raw total energy: -13.45 eV per formula unit
Mass density: 2.73 g/cm3



No. 22
VASP calculation (PBE-GGA) on a geometry-optimized Y3TiIn3S8 structure.

Cell lengths 7.762, 7.762, 8.687 Å; angles 116.53, 90.00, 120.00 degrees
Sites, in units of the cell vectors:
Y 0.500 0.000 0.500
Y 0.500 0.500 0.500
Y 0.000 0.500 0.500
Ti 0.000 0.000 0.500
In 0.000 0.000 0.000
In 0.000 0.500 0.000
In 0.500 0.500 0.000
S 0.265 0.529 0.294
S 0.735 0.471 0.706
S 0.783 0.567 0.306
S 0.217 0.433 0.694
S 0.783 0.023 0.306
S 0.217 0.977 0.694
S 0.239 0.023 0.306
S 0.761 0.977 0.694

Magnetization: 0.0 μB per formula unit
Formation energy without anion corrections: -1.369 eV/atom
Raw total energy: -89.05 eV per formula unit
Mass density: 3.92 g/cm3



No. 23
VASP calculation (PBE-GGA) on a geometry-optimized TlTc2Te structure.

Cell lengths 3.272, 3.272, 6.739 Å; angles 90.00, 90.00, 90.00 degrees
Sites, in units of the cell vectors:
Tc 0.000 0.000 0.018
Tc 0.000 0.000 0.482
Te 0.500 0.500 0.250
Tl 0.500 0.500 0.750

Magnetization: 0.0 μB per formula unit
Formation energy without anion corrections: 0.547 eV/atom
Raw total energy: -24.05 eV per formula unit
Mass density: 12.16 g/cm3



No. 24
VASP calculation (PBE-GGA) on a geometry-optimized IrRhAu2 structure.

Cell lengths 2.789, 4.838, 4.849 Å; angles 90.00, 90.00, 90.00 degrees
Last column: magnetic moment on the atom in μB.
Sites, in units of the cell vectors:
Ir 0.500 0.000 0.500  0.20
Rh 0.000 0.500 0.500  0.24
Au 0.000 0.000 0.000  0.01
Au 0.500 0.500 0.000  0.02

Magnetization: 0.5 μB per formula unit
Formation energy from the elements: 8.43 kcal/mol of atoms
Raw total energy: -21.31 eV per formula unit
Mass density: 17.49 g/cm3



No. 25
VASP calculation (PBE-GGA) on a geometry-optimized Zn2TePt structure.

Cell lengths 5.139, 5.139, 5.139 Å; angles 132.23, 132.23, 69.87 degrees
Sites, in units of the cell vectors:
Pt 0.500 0.500 0.000
Te 0.750 0.250 0.500
Zn 0.000 0.000 0.000
Zn 0.250 0.750 0.500

Magnetization: 0.0 μB per formula unit
Formation energy without anion corrections: 0.045 eV/atom
Raw total energy: -11.55 eV per formula unit
Mass density: 10.32 g/cm3